No. 1
VASP calculation (GGA-PBE) on a geometry-optimized Ac4HPd12 structure.

Cell: 7.4850 7.4850 7.4850 Å, 109.47 109.47 109.47°
Closest atoms and distances in Å follow each position.
Fractional positions:
Ac1 0.0000 0.0000 0.5000  12 Pd 3.06
Ac2 0.0000 0.5000 0.0000  12 Pd 3.06
Ac3 0.5000 0.0000 0.0000  12 Pd 3.06
Ac4 0.5000 0.5000 0.5000  12 Pd 3.06
H1 0.0000 0.0000 0.0000  6 Pd 2.16
Pd1 0.0000 0.2495 0.2495  1 H 2.16
Pd2 0.0000 0.7505 0.7505  1 H 2.16
Pd3 0.2495 0.0000 0.2495  1 H 2.16
Pd4 0.2495 0.2495 0.0000  1 H 2.16
Pd5 0.2500 0.5000 0.7500  8 Pd 3.06, 4 Ac 3.06
Pd6 0.2500 0.7500 0.5000  8 Pd 3.06, 4 Ac 3.06
Pd7 0.5000 0.2500 0.7500  4 Ac 3.06, 8 Pd 3.06
Pd8 0.5000 0.7500 0.2500  8 Pd 3.06, 4 Ac 3.06
Pd9 0.7505 0.0000 0.7505  1 H 2.16
Pd10 0.7500 0.2500 0.5000  4 Ac 3.06, 8 Pd 3.06
Pd11 0.7500 0.5000 0.2500  8 Pd 3.06, 4 Ac 3.06
Pd12 0.7505 0.7505 0.0000  1 H 2.16

Computed properties:
As for the magnetic moment: 0.00 μB per formula unit. The value obtained for the total DFT energy (no corrections) is -94.2 eV per formula unit.


No. 2
VASP calculation (GGA-PBE) on a geometry-optimized ErU2S6 structure.

Cell: 7.1944 7.1944 8.7297 Å, 124.18 124.18 41.58°
Closest atoms and distances in Å follow each position.
Fractional positions:
Er1 0.0000 0.0000 0.0000  8 S 2.75-2.99
U1 0.1833 0.1833 0.6105  6 S 2.49-2.76
U2 0.8167 0.8167 0.3895  6 S 2.49-2.76
S1 0.0377 0.0377 0.7229  2 U 2.63-2.67, 1 Er 2.75
S2 0.2545 0.2545 0.3727  3 U 2.66-2.76
S3 0.3723 0.3723 0.9506  1 U 2.49
S4 0.6277 0.6277 0.0494  1 U 2.49
S5 0.7455 0.7455 0.6273  3 U 2.66-2.76
S6 0.9623 0.9623 0.2771  2 U 2.63-2.67, 1 Er 2.75

Computed properties:
As for the magnetic moment: 3.00 μB per formula unit. For the offset from the most stable computed form, the calculation gives 2.82 kcal/mol of atoms. The value obtained for the total DFT energy (no corrections) is -64.3 eV per formula unit.


No. 3
VASP calculation (GGA-PBE) on a geometry-optimized Mg2CrIn structure.

Cell: 7.6148 7.6148 5.5813 Å, 90.00 90.00 90.00°
Closest atoms and distances in Å follow each position.
Fractional positions:
Mg1 0.2321 0.7500 0.1250  2 Cr 2.69, 2 Mg 2.80, 2 In 2.88
Mg2 0.2500 0.2321 0.8750  2 Cr 2.69, 2 Mg 2.80, 2 In 2.88
Mg3 0.2500 0.2679 0.3750  2 Cr 2.69, 2 Mg 2.80, 2 In 2.88
Mg4 0.2679 0.7500 0.6250  2 Cr 2.69, 2 Mg 2.80, 2 In 2.88
Mg5 0.7321 0.2500 0.6250  2 Cr 2.69, 2 Mg 2.80, 2 In 2.88
Mg6 0.7500 0.7321 0.3750  2 Cr 2.69, 2 Mg 2.80, 2 In 2.88
Mg7 0.7500 0.7679 0.8750  2 Cr 2.69, 2 Mg 2.80, 2 In 2.88
Mg8 0.7679 0.2500 0.1250  2 Cr 2.69, 2 Mg 2.80, 2 In 2.88
Cr1 0.0000 0.0000 0.0000  4 Mg 2.69, 2 In 2.79
Cr2 0.0000 0.5000 0.2500  4 Mg 2.69, 2 In 2.79
Cr3 0.5000 0.0000 0.7500  4 Mg 2.69, 2 In 2.79
Cr4 0.5000 0.5000 0.5000  4 Mg 2.69, 2 In 2.79
In1 0.0000 0.0000 0.5000  2 Cr 2.79, 4 Mg 2.88
In2 0.0000 0.5000 0.7500  2 Cr 2.79, 4 Mg 2.88
In3 0.5000 0.0000 0.2500  2 Cr 2.79, 4 Mg 2.88
In4 0.5000 0.5000 0.0000  2 Cr 2.79, 4 Mg 2.88

Computed properties:
As for the magnetic moment: 0.00 μB per formula unit. The value obtained for the total DFT energy (no corrections) is -12.6 eV per formula unit. As for the formation energy: 3.0 eV/f.u.


No. 4
VASP calculation (GGA-PBE) on a geometry-optimized MnTe2P structure.

Cell: 7.2630 3.6187 7.8607 Å, 90.00 114.08 90.00°
Closest atoms and distances in Å follow each position.
Fractional positions:
Mn1 0.0000 0.0000 0.0000  3 P 2.26-2.30
Mn2 0.5000 0.5000 0.0000  3 P 2.26-2.30
Te1 0.2599 0.5000 0.2301  3 Mn 2.71-2.98, 2 P 2.85
Te2 0.3943 0.0000 0.7034  1 P 2.44
Te3 0.7599 0.0000 0.2301  3 Mn 2.71-2.98, 2 P 2.85
Te4 0.8943 0.5000 0.7034  1 P 2.44
P1 0.2927 0.0000 0.9632  3 Mn 2.26-2.30, 1 Te 2.44
P2 0.7927 0.5000 0.9632  3 Mn 2.26-2.30, 1 Te 2.44

Computed properties:
As for the magnetic moment: 0.00 μB per formula unit. The value obtained for the total DFT energy (no corrections) is -20.6 eV per formula unit.


No. 5
VASP calculation (GGA-PBE) on a geometry-optimized HgAsCBr2 structure.

Cell: 4.9695 4.9695 4.4013 Å, 90.00 90.00 90.00°
Closest atoms and distances in Å follow each position.
Fractional positions:
Hg1 0.0000 0.0000 0.0000  8 Br 3.32, 4 As 3.51
As1 0.5000 0.5000 0.0000  2 C 2.20
C1 0.5000 0.5000 0.5000  2 As 2.20
Br1 0.0000 0.5000 0.5000  2 C 2.48
Br2 0.5000 0.0000 0.5000  2 C 2.48

Computed properties:
As for the magnetic moment: 0.00 μB per formula unit. For the offset from the most stable computed form, the calculation gives 0.00 kcal/mol of atoms. The value obtained for the total DFT energy (no corrections) is -12.1 eV per formula unit.


No. 6
VASP calculation (GGA-PBE) on a geometry-optimized Al2SnAs structure.

Cell: 6.8735 6.8735 6.8735 Å, 90.00 90.00 90.00°
Closest atoms and distances in Å follow each position.
Fractional positions:
Al1 0.2500 0.2500 0.2500  4 As 2.98, 4 Sn 2.98
Al2 0.2500 0.2500 0.7500  4 As 2.98, 4 Sn 2.98
Al3 0.2500 0.7500 0.2500  4 As 2.98, 4 Sn 2.98
Al4 0.2500 0.7500 0.7500  4 As 2.98, 4 Sn 2.98
Al5 0.7500 0.2500 0.2500  4 As 2.98, 4 Sn 2.98
Al6 0.7500 0.2500 0.7500  4 As 2.98, 4 Sn 2.98
Al7 0.7500 0.7500 0.2500  4 As 2.98, 4 Sn 2.98
Al8 0.7500 0.7500 0.7500  4 As 2.98, 4 Sn 2.98
Sn1 0.0000 0.0000 0.0000  8 Al 2.98
Sn2 0.0000 0.5000 0.5000  8 Al 2.98
Sn3 0.5000 0.0000 0.5000  8 Al 2.98
Sn4 0.5000 0.5000 0.0000  8 Al 2.98
As1 0.0000 0.0000 0.5000  8 Al 2.98
As2 0.0000 0.5000 0.0000  8 Al 2.98
As3 0.5000 0.0000 0.0000  8 Al 2.98
As4 0.5000 0.5000 0.5000  8 Al 2.98

Computed properties:
As for the magnetic moment: 0.00 μB per formula unit. For the offset from the most stable computed form, the calculation gives 5.61 kcal/mol of atoms. The value obtained for the total DFT energy (no corrections) is -15.3 eV per formula unit. As for the formation energy: 0.8 eV/f.u.


No. 7
VASP calculation (GGA-PBE) on a geometry-optimized SnOs structure.

Cell: 5.3392 7.3384 8.4665 Å, 90.00 90.00 90.00°
Closest atoms and distances in Å follow each position.
Fractional positions:
Sn1 0.0063 0.1751 0.4203  5 Os 2.67-2.91
Sn2 0.0256 0.6320 0.6671  5 Os 2.65-2.94
Sn3 0.4744 0.3680 0.1671  5 Os 2.65-2.94
Sn4 0.4937 0.8249 0.9203  5 Os 2.67-2.91
Sn5 0.5063 0.3249 0.5797  5 Os 2.67-2.91
Sn6 0.5256 0.8680 0.3329  5 Os 2.65-2.94
Sn7 0.9744 0.1320 0.8329  5 Os 2.65-2.94
Sn8 0.9937 0.6751 0.0797  5 Os 2.67-2.91
Os1 0.0077 0.8120 0.3900  2 Os 2.50-2.77, 3 Sn 2.65-2.69
Os2 0.1902 0.0045 0.1327  2 Os 2.50-2.77, 3 Sn 2.66-2.76
Os3 0.3098 0.9955 0.6327  2 Os 2.50-2.77, 3 Sn 2.66-2.76
Os4 0.4923 0.1880 0.8900  2 Os 2.50-2.77, 3 Sn 2.65-2.69
Os5 0.5077 0.6880 0.6100  2 Os 2.50-2.77, 3 Sn 2.65-2.69
Os6 0.6902 0.4955 0.8673  2 Os 2.50-2.77, 3 Sn 2.66-2.76
Os7 0.8098 0.5045 0.3673  2 Os 2.50-2.77, 3 Sn 2.66-2.76
Os8 0.9923 0.3120 0.1100  2 Os 2.50-2.77, 3 Sn 2.65-2.69

Computed properties:
As for the magnetic moment: 0.00 μB per formula unit. The value obtained for the total DFT energy (no corrections) is -14.3 eV per formula unit. As for the formation energy: 0.9 eV/f.u.


No. 8
VASP calculation (GGA-PBE) on a geometry-optimized HfZr2Ta structure.

Cell: 3.1189 3.1189 30.9484 Å, 90.00 90.00 120.00°
Closest atoms and distances in Å follow each position.
Fractional positions:
Hf1 0.0000 0.0000 0.0000  6 Hf 3.12, 6 Zr 3.21
Hf2 0.3333 0.6667 0.6667  6 Hf 3.12, 6 Zr 3.21
Hf3 0.6667 0.3333 0.3333  6 Hf 3.12, 6 Zr 3.21
Zr1 0.0000 0.0000 0.2476  3 Ta 3.08, 6 Zr 3.12, 3 Hf 3.21
Zr2 0.0000 0.0000 0.7524  3 Ta 3.08, 6 Zr 3.12, 3 Hf 3.21
Zr3 0.3333 0.6667 0.4191  3 Ta 3.08, 6 Zr 3.12, 3 Hf 3.21
Zr4 0.3333 0.6667 0.9143  3 Ta 3.08, 6 Zr 3.12, 3 Hf 3.21
Zr5 0.6667 0.3333 0.0857  3 Ta 3.08, 6 Zr 3.12, 3 Hf 3.21
Zr6 0.6667 0.3333 0.5809  3 Ta 3.08, 6 Zr 3.12, 3 Hf 3.21
Ta1 0.0000 0.0000 0.5000  6 Zr 3.08, 6 Ta 3.12
Ta2 0.3333 0.6667 0.1667  6 Zr 3.08, 6 Ta 3.12
Ta3 0.6667 0.3333 0.8333  6 Zr 3.08, 6 Ta 3.12

Computed properties:
As for the magnetic moment: 0.00 μB per formula unit. For the offset from the most stable computed form, the calculation gives 0.77 kcal/mol of atoms. The value obtained for the total DFT energy (no corrections) is -38.2 eV per formula unit. As for the formation energy: 0.7 eV/f.u.


No. 9
VASP calculation (GGA-PBE) on a geometry-optimized LaSb3As structure.

Cell: 5.9977 5.9977 5.9977 Å, 90.00 90.00 90.00°
Closest atoms and distances in Å follow each position.
Fractional positions:
La1 0.0000 0.0000 0.0000  6 Sb 3.00
Sb1 0.0000 0.0000 0.5000  2 La 3.00
Sb2 0.0000 0.5000 0.0000  2 La 3.00
Sb3 0.5000 0.0000 0.0000  2 La 3.00
As1 0.5000 0.5000 0.5000  12 Sb 4.24

Computed properties:
As for the magnetic moment: 0.00 μB per formula unit. For the offset from the most stable computed form, the calculation gives 22.31 kcal/mol of atoms. The value obtained for the total DFT energy (no corrections) is -17.2 eV per formula unit.


No. 10
VASP calculation (GGA-PBE) on a geometry-optimized La3BiSbCl structure.

Cell: 9.1504 4.6208 10.0499 Å, 90.00 102.35 90.00°
Closest atoms and distances in Å follow each position.
Fractional positions:
La1 0.0847 0.2500 0.3405  3 Sb 3.17-3.21, 2 Bi 3.34
La2 0.2512 0.2500 0.9952  3 Cl 2.90-3.06
La3 0.3990 0.7500 0.6305  1 Cl 2.88
La4 0.6010 0.2500 0.3695  1 Cl 2.88
La5 0.7488 0.7500 0.0048  3 Cl 2.90-3.06
La6 0.9153 0.7500 0.6595  3 Sb 3.17-3.21, 2 Bi 3.34
Bi1 0.3238 0.7500 0.2746  7 La 3.34-3.59
Bi2 0.6762 0.2500 0.7254  7 La 3.34-3.59
Sb1 0.1602 0.2500 0.6639  6 La 3.17-3.26
Sb2 0.8398 0.7500 0.3361  6 La 3.17-3.26
Cl1 0.4068 0.7500 0.9182  4 La 2.88-3.06, 2 Cl 3.12
Cl2 0.5932 0.2500 0.0818  4 La 2.88-3.06, 2 Cl 3.12

Computed properties:
As for the magnetic moment: 0.85 μB per formula unit. The value obtained for the total DFT energy (no corrections) is -31.9 eV per formula unit.


No. 11
VASP calculation (GGA-PBE) on a geometry-optimized PuH8Ru2 structure.

Cell: 5.1180 5.1180 3.5124 Å, 91.27 91.27 117.24°
Closest atoms and distances in Å follow each position.
Fractional positions:
Pu1 0.0000 0.0000 0.0000  12 H 2.34-2.51
H1 0.0258 0.3204 0.5198  2 Ru 1.76-1.83, 1 H 1.84
H2 0.2868 0.7132 0.0000  2 Ru 1.79
H3 0.3204 0.0258 0.5198  2 Ru 1.76-1.83, 1 H 1.84
H4 0.4208 0.4208 0.2515  2 Ru 1.78, 2 H 1.91-1.99
H5 0.5792 0.5792 0.7485  2 Ru 1.78, 2 H 1.91-1.99
H6 0.6796 0.9742 0.4802  2 Ru 1.76-1.83, 1 H 1.84
H7 0.7132 0.2868 0.0000  2 Ru 1.79
H8 0.9742 0.6796 0.4802  2 Ru 1.76-1.83, 1 H 1.84
Ru1 0.3283 0.6717 0.5000  8 H 1.76-1.83
Ru2 0.6717 0.3283 0.5000  8 H 1.76-1.83

Computed properties:
As for the magnetic moment: 5.34 μB per formula unit. The value obtained for the total DFT energy (no corrections) is -60.9 eV per formula unit.


No. 12
VASP calculation (GGA-PBE) on a geometry-optimized Pm5CdPb6 structure.

Cell: 9.3286 9.3286 4.9303 Å, 105.30 105.30 111.52°
Closest atoms and distances in Å follow each position.
Fractional positions:
Pm1 0.0000 0.0000 0.0000  8 Pb 3.32-3.49, 4 Pm 3.59
Pm2 0.1692 0.8308 0.5000  8 Pb 3.37-3.43, 2 Pm 3.59
Pm3 0.3553 0.6447 0.0000  8 Pb 3.28-3.66, 2 Cd 3.33
Pm4 0.6447 0.3553 0.0000  8 Pb 3.28-3.66, 2 Cd 3.33
Pm5 0.8308 0.1692 0.5000  8 Pb 3.37-3.43, 2 Pm 3.59
Cd1 0.5000 0.5000 0.5000  4 Pm 3.33, 8 Pb 3.45-3.52
Pb1 0.0769 0.4178 0.2475  7 Pm 3.37-3.66, 4 Pb 3.48-3.60, 1 Cd 3.52
Pb2 0.2402 0.2402 0.7402  6 Pm 3.28-3.43, 2 Cd 3.45, 4 Pb 3.60
Pb3 0.4178 0.0769 0.2475  7 Pm 3.37-3.66, 4 Pb 3.48-3.60, 1 Cd 3.52
Pb4 0.5822 0.9231 0.7525  7 Pm 3.37-3.66, 4 Pb 3.48-3.60, 1 Cd 3.52
Pb5 0.7598 0.7598 0.2598  6 Pm 3.28-3.43, 2 Cd 3.45, 4 Pb 3.60
Pb6 0.9231 0.5822 0.7525  7 Pm 3.37-3.66, 4 Pb 3.48-3.60, 1 Cd 3.52

Computed properties:
As for the magnetic moment: 0.00 μB per formula unit. The value obtained for the total DFT energy (no corrections) is -52.4 eV per formula unit. As for the formation energy: -5.5 eV/f.u.


| no. | Fermi-level density of states (states/eV/atom) |
| --- | --- |
| 1 | 0.09 |
| 2 | 1.14 |
| 3 | 2.86 |
| 4 | 0.37 |
| 5 | 0.70 |
| 6 | 0.39 |
| 7 | 0.60 |
| 8 | 1.54 |
| 9 | 1.49 |
| 10 | 0.72 |
| 11 | 1.02 |
| 12 | 0.72 |